# 1
An optimized crystal structure of MnAlRuAu, computed with PBE-GGA.

Lattice parameters (Å, degrees): 4.3782 4.3782 4.3782 60.00 60.00 60.00
Last column: nearest neighbours and their distance in Å.
Sites, in units of the cell vectors:
Al 0.7500 0.7500 0.7500  4 Ru 2.68, 4 Au 2.68
Au 0.0000 0.0000 0.0000  4 Mn 2.68, 4 Al 2.68
Ru 0.5000 0.5000 0.5000  4 Al 2.68, 4 Mn 2.68
Mn 0.2500 0.2500 0.2500  4 Ru 2.68, 4 Au 2.68

Results
calculated volume: 59.3 Å³/cell
DOS(E_F): 1.8 states/eV/f.u.
energy of formation: -224 meV/atom
total magnetization: 1.07 μB per atom

# 2
An optimized crystal structure of MnAl2AuS, computed with PBE-GGA.

Lattice parameters (Å, degrees): 4.7651 4.0277 4.7651 90.00 90.00 90.00
Last column: nearest neighbours and their distance in Å.
Sites, in units of the cell vectors:
Mn 0.0000 0.0000 0.0000  2 S 2.01
S 0.0000 0.5000 0.0000  2 Mn 2.01
Au 0.5000 0.5000 0.5000  8 Al 3.12, 4 S 3.37
Al 0.0000 0.0000 0.5000  2 Mn 2.38
Al 0.5000 0.0000 0.0000  2 Mn 2.38

Results
calculated volume: 91.5 Å³/cell
DOS(E_F): 0.7 states/eV/f.u.
uncorrected formation energy: 10 kJ/mol of atoms
total magnetization: 0.00 μB per atom

# 3
An optimized crystal structure of MnAlAu2S, computed with PBE-GGA.

Lattice parameters (Å, degrees): 4.8251 4.6553 4.8251 90.00 90.00 90.00
Last column: nearest neighbours and their distance in Å.
Sites, in units of the cell vectors:
Au 0.5000 0.0000 0.0000  2 S 2.41
S 0.0000 0.0000 0.0000  2 Al 2.33, 4 Au 2.41
Al 0.0000 0.5000 0.0000  2 S 2.33
Au 0.0000 0.0000 0.5000  2 S 2.41
Mn 0.5000 0.5000 0.5000  8 Au 3.35, 4 Al 3.41

Results
calculated volume: 108.4 Å³/cell
DOS(E_F): 3.1 states/eV/f.u.
uncorrected formation energy: 63 kJ/mol of atoms
total magnetization: 0.90 μB per atom

# 4
An optimized crystal structure of Mn2AlAuSe, computed with PBE-GGA.

Lattice parameters (Å, degrees): 4.5613 4.9499 4.5613 90.00 90.00 90.00
Last column: nearest neighbours and their distance in Å.
Sites, in units of the cell vectors:
Mn 0.0000 0.0000 0.5000  2 Se 2.28
Mn 0.5000 0.0000 0.0000  2 Se 2.28
Se 0.0000 0.0000 0.0000  4 Mn 2.28, 2 Al 2.47
Au 0.5000 0.5000 0.5000  4 Al 3.23, 8 Mn 3.37
Al 0.0000 0.5000 0.0000  2 Se 2.47

Results
calculated volume: 103.0 Å³/cell
DOS(E_F): 4.3 states/eV/f.u.
uncorrected formation energy: 52 kJ/mol of atoms
total magnetization: 1.46 μB per atom